(1)
The following is a PBE calculation of a relaxed structure of InNiBi2, from the Alexandria database.

Unit cell a=3.5064 b=3.5064 c=10.4571 alpha=80.35 beta=80.35 gamma=60.00
Closest atoms and distances in Å follow each position.
Positions (direct):
Ni 0.5000 0.5000 0.5000  6 Bi 2.70
Bi 0.1086 0.1086 0.6743  3 Ni 2.70
Bi 0.8914 0.8914 0.3257  3 Ni 2.70
In 0.0000 0.0000 0.0000  2 Bi 3.34, 6 In 3.51

Results
Formation energy = 0.12 eV/atom
DOS(E_F) = 3.044 states/eV per cell


(2)
The following is a PBE calculation of a relaxed structure of InNiBi, from the Alexandria database.

Unit cell a=6.4738 b=7.9289 c=6.4738 alpha=65.51 beta=90.88 gamma=114.49
Closest atoms and distances in Å follow each position.
Positions (direct):
Bi 0.9053 0.2367 0.5944  4 Ni 2.77-2.84
Bi 0.9186 0.2633 0.0811  4 Ni 2.77-2.84
Bi 0.6556 0.7367 0.3447  4 Ni 2.77-2.84
Bi 0.1689 0.7633 0.3314  4 Ni 2.77-2.84
Ni 0.0373 0.0000 0.4631  4 In 2.74-2.86, 4 Bi 2.77-2.84
Ni 0.7869 0.5000 0.2127  4 In 2.74-2.86, 4 Bi 2.77-2.84
Ni 0.5369 0.0000 0.9627  4 In 2.74-2.86, 4 Bi 2.77-2.84
Ni 0.2873 0.5000 0.7131  4 In 2.74-2.86, 4 Bi 2.77-2.84
In 0.4064 0.2389 0.5937  4 Ni 2.74-2.86
In 0.6563 0.7389 0.8436  4 Ni 2.74-2.86
In 0.4175 0.2611 0.0825  4 Ni 2.74-2.86
In 0.1675 0.7611 0.8325  4 Ni 2.74-2.86

Results
Formation energy = -0.03 eV/atom
DOS(E_F) = 5.792 states/eV per cell


(3)
The following is a PBE calculation of a relaxed structure of InNiBi, from the Alexandria database.

Unit cell a=4.1647 b=5.1267 c=6.9293 alpha=95.23 beta=107.70 gamma=89.91
Closest atoms and distances in Å follow each position.
Positions (direct):
In 0.0495 0.7019 0.4447  4 Ni 2.64-2.65
In 0.2053 0.2414 0.7532  4 Ni 2.64-2.65
Ni 0.6273 0.4715 0.5990  2 Ni 2.56, 2 Bi 2.63-2.64, 4 In 2.64-2.65
Ni 0.6273 0.9715 0.5990  2 Ni 2.56, 4 In 2.65, 2 Bi 2.65
Bi 0.4522 0.1823 0.2470  2 Ni 2.63-2.65
Bi 0.8031 0.7611 0.9510  2 Ni 2.64-2.65

Results
Formation energy = -0.01 eV/atom
DOS(E_F) = 2.753 states/eV per cell


(4)
The following is a PBE calculation of a relaxed structure of In2Ni2Bi, from the Alexandria database.

Unit cell a=4.0821 b=4.0821 c=6.6237 alpha=72.05 beta=72.05 gamma=90.00
Closest atoms and distances in Å follow each position.
Positions (direct):
Ni 0.3978 0.3978 0.2044  1 Ni 2.44, 4 In 2.70
Ni 0.6022 0.6022 0.7956  1 Ni 2.44, 4 In 2.70
Bi 0.0000 0.0000 0.0000  8 Ni 3.13
In 0.7500 0.2500 0.5000  4 Ni 2.70, 4 In 2.89
In 0.2500 0.7500 0.5000  4 Ni 2.70, 4 In 2.89

Results
Formation energy = 0.14 eV/atom
DOS(E_F) = 2.897 states/eV per cell
E above lowest polymorph = 66 meV per atom


(5)
The following is a PBE calculation of a relaxed structure of In2Ni2Bi, from the Alexandria database.

Unit cell a=7.5874 b=7.5874 c=3.3104 alpha=90.00 beta=90.00 gamma=90.00
Closest atoms and distances in Å follow each position.
Positions (direct):
Ni 0.3655 0.8655 0.0000  6 In 2.76-2.80, 1 Ni 2.89, 2 Bi 2.95
Ni 0.8655 0.6345 0.0000  6 In 2.76-2.80, 1 Ni 2.89, 2 Bi 2.95
Ni 0.6345 0.1345 0.0000  6 In 2.76-2.80, 1 Ni 2.89, 2 Bi 2.95
Ni 0.1345 0.3655 0.0000  6 In 2.76-2.80, 1 Ni 2.89, 2 Bi 2.95
Bi 0.0000 0.0000 0.0000  4 Ni 2.95
Bi 0.5000 0.5000 0.0000  4 Ni 2.95
In 0.1555 0.6555 0.5000  6 Ni 2.76-2.80
In 0.6555 0.8445 0.5000  6 Ni 2.76-2.80
In 0.8445 0.3445 0.5000  6 Ni 2.76-2.80
In 0.3445 0.1555 0.5000  6 Ni 2.76-2.80

Results
Formation energy = 0.07 eV/atom
DOS(E_F) = 6.224 states/eV per cell
E above lowest polymorph = 0 meV per atom


(6)
The following is a PBE calculation of a relaxed structure of InNiBi3, from the Alexandria database.

Unit cell a=5.6917 b=5.6917 c=5.6917 alpha=90.00 beta=90.00 gamma=90.00
Closest atoms and distances in Å follow each position.
Positions (direct):
Ni 0.5000 0.5000 0.5000  12 Bi 4.02
Bi 0.0000 0.5000 0.0000  2 In 2.85
Bi 0.0000 0.0000 0.5000  2 In 2.85
Bi 0.5000 0.0000 0.0000  2 In 2.85
In 0.0000 0.0000 0.0000  6 Bi 2.85

Results
Formation energy = 1.25 eV/atom
DOS(E_F) = 6.123 states/eV per cell
E above lowest polymorph = 978 meV per atom


(7)
The following is a PBE calculation of a relaxed structure of InNiBi2, from the Alexandria database.

Unit cell a=4.1496 b=4.1496 c=7.6648 alpha=74.29 beta=74.29 gamma=60.00
Closest atoms and distances in Å follow each position.
Positions (direct):
In 0.5050 0.5050 0.4850  6 Bi 3.30-3.49, 1 Ni 3.47
Ni 0.6637 0.6637 0.0088  6 Bi 2.68-2.72
Bi 0.0556 0.0556 0.8331  3 Ni 2.72
Bi 0.2757 0.2757 0.1730  3 Ni 2.68

Results
Formation energy = 0.05 eV/atom
DOS(E_F) = 2.159 states/eV per cell


(8)
The following is a PBE calculation of a relaxed structure of InNi4Bi, from the Alexandria database.

Unit cell a=5.0323 b=5.0323 c=5.0323 alpha=60.00 beta=60.00 gamma=60.00
Closest atoms and distances in Å follow each position.
Positions (direct):
Ni 0.6256 0.6256 0.1231  6 Ni 2.50-2.53
Ni 0.6256 0.1231 0.6256  6 Ni 2.50-2.53
Ni 0.6256 0.6256 0.6256  6 Ni 2.50-2.53
Ni 0.1232 0.6256 0.6256  6 Ni 2.50-2.53
Bi 0.2500 0.2500 0.2500  12 Ni 2.95, 4 In 3.08
In 0.0000 0.0000 0.0000  12 Ni 2.95, 4 Bi 3.08

Results
Formation energy = 0.09 eV/atom
DOS(E_F) = 3.625 states/eV per cell


(9)
The following is a PBE calculation of a relaxed structure of In2Ni2Bi, from the Alexandria database.

Unit cell a=8.0523 b=8.0523 c=2.9932 alpha=90.00 beta=90.00 gamma=90.00
Closest atoms and distances in Å follow each position.
Positions (direct):
Ni 0.1600 0.6600 0.5000  6 In 2.79-2.80, 2 Ni 2.99
Ni 0.6600 0.8400 0.5000  6 In 2.79-2.80, 2 Ni 2.99
Ni 0.8400 0.3400 0.5000  6 In 2.79-2.80, 2 Ni 2.99
Ni 0.3400 0.1600 0.5000  6 In 2.79-2.80, 2 Ni 2.99
Bi 0.0000 0.0000 0.0000  2 Bi 2.99, 4 In 3.14
Bi 0.5000 0.5000 0.0000  2 Bi 2.99, 4 In 3.14
In 0.3666 0.8666 0.0000  6 Ni 2.79-2.80, 3 In 2.99-3.04
In 0.8666 0.6334 0.0000  6 Ni 2.79-2.80, 3 In 2.99-3.04
In 0.6334 0.1334 0.0000  6 Ni 2.79-2.80, 3 In 2.99-3.04
In 0.1334 0.3666 0.0000  6 Ni 2.79-2.80, 3 In 2.99-3.04

Results
Formation energy = 0.17 eV/atom
DOS(E_F) = 3.803 states/eV per cell
E above lowest polymorph = 97 meV per atom


(10)
The following is a PBE calculation of a relaxed structure of InNiBi3, from the Alexandria database.

Unit cell a=5.2407 b=5.2407 c=5.2407 alpha=90.00 beta=90.00 gamma=90.00
Closest atoms and distances in Å follow each position.
Positions (direct):
Ni 0.0000 0.0000 0.0000  6 Bi 2.62
Bi 0.0000 0.5000 0.0000  2 Ni 2.62
Bi 0.0000 0.0000 0.5000  2 Ni 2.62
Bi 0.5000 0.0000 0.0000  2 Ni 2.62
In 0.5000 0.5000 0.5000  12 Bi 3.71

Results
Formation energy = 0.27 eV/atom
DOS(E_F) = 5.029 states/eV per cell
E above lowest polymorph = 0 meV per atom


(11)
The following is a PBE calculation of a relaxed structure of InNi2Bi, from the Alexandria database.

Unit cell a=4.6439 b=4.6439 c=4.6439 alpha=60.00 beta=60.00 gamma=60.00
Closest atoms and distances in Å follow each position.
Positions (direct):
Ni 0.2500 0.2500 0.2500  4 In 2.84, 4 Bi 2.84
Ni 0.7500 0.7500 0.7500  4 Bi 2.84, 4 In 2.84
Bi 0.5000 0.5000 0.5000  8 Ni 2.84
In 0.0000 0.0000 0.0000  8 Ni 2.84

Results
Formation energy = 0.18 eV/atom
DOS(E_F) = 2.804 states/eV per cell
E above lowest polymorph = 0 meV per atom


(12)
The following is a PBE calculation of a relaxed structure of InNi2Bi, from the Alexandria database.

Unit cell a=4.4371 b=4.4371 c=8.9473 alpha=75.64 beta=75.64 gamma=90.00
Closest atoms and distances in Å follow each position.
Positions (direct):
Ni 0.6245 0.1250 0.2500  2 In 2.62, 2 Bi 2.62
Ni 0.1255 0.6250 0.2500  2 In 2.62, 2 Bi 2.62
Ni 0.3750 0.3755 0.7500  2 In 2.62, 2 Bi 2.62
Ni 0.8750 0.8745 0.7500  2 In 2.62, 2 Bi 2.62
Bi 0.0000 0.0000 0.0000  4 Ni 2.62
Bi 0.7500 0.2500 0.5000  4 Ni 2.62
In 0.5000 0.5000 0.0000  4 Ni 2.62
In 0.2500 0.7500 0.5000  4 Ni 2.62

Results
Formation energy = 0.36 eV/atom
DOS(E_F) = 5.062 states/eV per cell
E above lowest polymorph = 187 meV per atom